Record 1
TaCr2Cu | SCAN | PBEsol geometry

Calculated values
D(E_F)	3.07	states/eV/cell
formation energy from the elements	0.16	eV per atom
volume	51.7	Å³/cell
symmetry	Pmmm
total magnetization	1.541	μB per formula unit

Lattice parameters (Å, degrees): 3.2380 4.0231 3.9651 90.00 90.00 90.00
Last column: nearest neighbours and their distance in Å.
Sites, in units of the cell vectors:
Cu1 0.5000 0.5000 0.0000  4 Ta 2.56, 8 Cr 2.58-2.82
Cr1 0.5000 0.0000 0.5000  4 Cr 2.56, 4 Ta 2.58, 4 Cu 2.82
Ta1 0.0000 0.5000 0.5000  4 Cu 2.56, 8 Cr 2.58-2.82
Cr2 0.0000 0.0000 0.0000  4 Cr 2.56, 4 Cu 2.58, 4 Ta 2.82

***

Record 2
TaCr2Cu | SCAN | PBEsol geometry

Calculated values
D(E_F)	4.32	states/eV/cell
formation energy from the elements	0.45	eV per atom
volume	52.7	Å³/cell
symmetry	Cmmm
total magnetization	0.000	μB per formula unit

Lattice parameters (Å, degrees): 2.4897 4.8431 4.8431 115.46 90.00 90.00
Last column: nearest neighbours and their distance in Å.
Sites, in units of the cell vectors:
Ta1 0.5000 0.5000 0.5000  2 Ta 2.49, 2 Cu 2.59, 8 Cr 2.72
Cr1 0.0000 0.5000 0.0000  4 Cr 2.49-2.59, 4 Cu 2.72, 4 Ta 2.72
Cr2 0.0000 0.0000 0.5000  4 Cr 2.49-2.59, 4 Ta 2.72, 4 Cu 2.72
Cu1 0.5000 0.0000 0.0000  2 Cu 2.49, 2 Ta 2.59, 8 Cr 2.72

***

Record 3
TaCrCu | SCAN | PBEsol geometry

Calculated values
D(E_F)	3.60	states/eV/cell
formation energy from the elements	1.05	eV per atom
volume	50.3	Å³/cell
symmetry	F-43m
total magnetization	3.378	μB per formula unit

Lattice parameters (Å, degrees): 4.1441 4.1441 4.1441 60.00 60.00 60.00
Last column: nearest neighbours and their distance in Å.
Sites, in units of the cell vectors:
Ta1 0.2500 0.2500 0.2500  4 Cr 2.54, 4 Cu 2.54
Cr1 0.0000 0.0000 0.0000  4 Ta 2.54
Cu1 0.5000 0.5000 0.5000  4 Ta 2.54

***

Record 4
TaCrCu | SCAN | PBEsol geometry

Calculated values
D(E_F)	2.28	states/eV/cell
formation energy from the elements	0.26	eV per atom
volume	40.8	Å³/cell
symmetry	Fmm2
total magnetization	0.001	μB per formula unit

Lattice parameters (Å, degrees): 2.6108 2.6108 6.3733 98.90 98.90 104.17
Last column: nearest neighbours and their distance in Å.
Sites, in units of the cell vectors:
Cr1 0.9939 0.9939 0.9877  2 Cu 2.48, 4 Cr 2.61, 2 Ta 2.66
Ta1 0.6658 0.6658 0.3316  4 Ta 2.61, 2 Cr 2.66, 2 Cu 2.69
Cu1 0.3403 0.3403 0.6807  2 Cr 2.48, 4 Cu 2.61, 2 Ta 2.69

***

Record 5
TaCrCu | SCAN | PBEsol geometry

Calculated values
D(E_F)	3.50	states/eV/cell
formation energy from the elements	0.71	eV per atom
volume	46.9	Å³/cell
symmetry	F-43m
total magnetization	2.157	μB per formula unit

Lattice parameters (Å, degrees): 4.0473 4.0473 4.0473 60.00 60.00 60.00
Last column: nearest neighbours and their distance in Å.
Sites, in units of the cell vectors:
Cu1 0.2500 0.2500 0.2500  4 Cr 2.48, 4 Ta 2.48
Cr1 0.5000 0.5000 0.5000  4 Cu 2.48
Ta1 0.0000 0.0000 0.0000  4 Cu 2.48

***

Record 6
TaCr2Cu | SCAN | PBEsol geometry

Calculated values
D(E_F)	3.42	states/eV/cell
formation energy from the elements	0.40	eV per atom
volume	52.4	Å³/cell
symmetry	P4/mmm
total magnetization	0.000	μB per formula unit

Lattice parameters (Å, degrees): 2.5471 2.5471 8.0789 90.00 90.00 90.00
Last column: nearest neighbours and their distance in Å.
Sites, in units of the cell vectors:
Ta1 0.5000 0.5000 0.5000  4 Ta 2.55
Cr1 0.0000 0.0000 0.7739  4 Cr 2.55, 4 Cu 2.57
Cu1 0.5000 0.5000 0.0000  4 Cu 2.55, 8 Cr 2.57
Cr2 0.0000 0.0000 0.2261  4 Cr 2.55, 4 Cu 2.57

***

Record 7
CrCu2Tc | SCAN | PBEsol geometry

Calculated values
D(E_F)	3.67	states/eV/cell
formation energy from the elements	0.26	eV per atom
volume	48.8	Å³/cell
symmetry	R3m
total magnetization	0.002	μB per formula unit

Lattice parameters (Å, degrees): 2.5718 2.5718 8.6505 81.45 81.45 60.00
Last column: nearest neighbours and their distance in Å.
Sites, in units of the cell vectors:
Cr1 0.7486 0.7486 0.7542  6 Cr 2.57, 3 Cu 2.57, 3 Tc 2.60
Cu1 0.2531 0.2531 0.2408  9 Cu 2.53-2.57, 3 Tc 2.69
Cu2 0.9998 0.9998 0.0007  9 Cu 2.53-2.57, 3 Cr 2.57
Tc1 0.4986 0.4986 0.5043  6 Tc 2.57, 3 Cr 2.60, 3 Cu 2.69

***

Record 8
CrCu2Tc | SCAN | PBEsol geometry

Calculated values
D(E_F)	2.65	states/eV/cell
formation energy from the elements	0.24	eV per atom
volume	48.3	Å³/cell
symmetry	Cm
total magnetization	0.000	μB per formula unit

Lattice parameters (Å, degrees): 2.4362 4.4223 4.6873 95.49 90.00 105.99
Last column: nearest neighbours and their distance in Å.
Sites, in units of the cell vectors:
Cu1 0.2523 0.5046 0.7694  5 Cu 2.44-2.55, 4 Cr 2.61-2.68, 3 Tc 2.64-2.66
Cu2 0.9990 0.9979 0.9859  5 Cu 2.44-2.55, 3 Cr 2.63, 4 Tc 2.64-2.65
Tc1 0.5056 0.0112 0.4855  1 Cr 2.37, 2 Tc 2.44, 5 Cu 2.64-2.65
Cr1 0.7432 0.4864 0.2592  1 Tc 2.37, 2 Cr 2.44, 5 Cu 2.61-2.63

***

Record 9
CrCu2Tc | SCAN | PBEsol geometry

Calculated values
D(E_F)	1.97	states/eV/cell
formation energy from the elements	0.18	eV per atom
volume	48.2	Å³/cell
symmetry	Imm2
total magnetization	1.018	μB per formula unit

Lattice parameters (Å, degrees): 3.6694 3.6491 4.4319 114.31 114.45 90.00
Last column: nearest neighbours and their distance in Å.
Sites, in units of the cell vectors:
Tc1 0.4996 0.4996 0.9992  4 Cr 2.56-2.57, 8 Cu 2.57-2.59
Cu1 0.0000 0.0000 0.9999  4 Cu 2.56-2.57, 4 Cr 2.56-2.57, 4 Tc 2.59
Cr1 0.2503 0.7503 0.5006  4 Tc 2.56-2.57, 8 Cu 2.56-2.59
Cu2 0.7501 0.2501 0.5003  4 Cu 2.56-2.57, 4 Tc 2.57, 4 Cr 2.59

***

Record 10
CrCu2Tc | SCAN | PBEsol geometry

Calculated values
D(E_F)	3.40	states/eV/cell
formation energy from the elements	0.24	eV per atom
volume	48.5	Å³/cell
symmetry	Pmm2
total magnetization	1.107	μB per formula unit

Lattice parameters (Å, degrees): 2.4880 3.7540 5.1896 90.00 90.00 90.00
Last column: nearest neighbours and their distance in Å.
Sites, in units of the cell vectors:
Cu1 0.5000 0.5000 0.2345  6 Cu 2.49-2.54, 2 Cr 2.53-2.66, 4 Tc 2.67
Cr1 0.5000 0.5000 0.7465  2 Cr 2.49, 6 Cu 2.53-2.66, 4 Tc 2.56
Cu2 0.0000 0.0000 0.0088  6 Cu 2.49-2.54, 2 Tc 2.59-2.60, 4 Cr 2.63
Tc1 0.0000 0.0000 0.5102  2 Tc 2.49, 4 Cr 2.56, 6 Cu 2.59-2.67

***

Record 11
CrCu3Te | SCAN | PBEsol geometry

Calculated values
D(E_F)	2.08	states/eV/cell
raw formation energy	94.27	kJ/mol of atoms
volume	108.0	Å³/cell
symmetry	Pm-3m
total magnetization	5.205	μB per formula unit

Lattice parameters (Å, degrees): 4.7621 4.7621 4.7621 90.00 90.00 90.00
Last column: nearest neighbours and their distance in Å.
Sites, in units of the cell vectors:
Cr1 0.5000 0.5000 0.5000  12 Cu 3.37
Te1 0.0000 0.0000 0.0000  6 Cu 2.38
Cu1 0.0000 0.0000 0.5000  2 Te 2.38
Cu2 0.0000 0.5000 0.0000  2 Te 2.38
Cu3 0.5000 0.0000 0.0000  2 Te 2.38

***

Record 12
CrCuTe2 | SCAN | PBEsol geometry

Calculated values
D(E_F)	1.14	states/eV/cell
raw formation energy	-16.89	kJ/mol of atoms
volume	82.5	Å³/cell
symmetry	R-3m
total magnetization	3.069	μB per formula unit

Lattice parameters (Å, degrees): 3.8598 3.8598 6.7740 73.41 73.41 59.92
Last column: nearest neighbours and their distance in Å.
Sites, in units of the cell vectors:
Cu1 0.0000 0.0000 0.5000  6 Te 2.74-2.75
Cr1 0.5000 0.5000 0.0000  6 Te 2.74
Te1 0.2501 0.2501 0.7513  3 Cr 2.74, 3 Cu 2.74-2.75
Te2 0.7499 0.7499 0.2487  3 Cr 2.74, 3 Cu 2.74-2.75

***

no.,energy (eV per atom)
1,-29.47
2,-29.19
3,-32.33
4,-33.13
5,-32.68
6,-29.24
7,-20.70
8,-20.72
9,-20.78
10,-20.72
11,-19.27
12,-27.20